Below is an optimized crystal structure of Tb8Sm4Dy, with properties calculated at the PBE level.

POSCAR file:
```
Tb8Sm4Dy
1.0
5.518 3.186 4.491
-5.518 3.186 4.491
0.000 -6.371 4.491
Tb Sm Dy
8 4 1
Cartesian
0.000 0.000 3.231
0.000 -3.309 5.563
-2.866 1.655 5.563
-2.866 -1.655 7.911
2.866 1.655 5.563
2.866 -1.655 7.911
0.000 3.309 7.911
0.000 0.000 10.243
0.000 0.000 0.000
-2.759 -1.593 4.491
-2.759 1.593 8.983
0.000 3.186 4.491
0.000 0.000 6.737
```

Computed properties:
Crystal system ... trigonal
DFT total energy ... -53.99 eV for the cell shown
Calculated formation energy ... 0.50 eV per atom
Symmetry ... R-3m, No. 166
Density of states at the Fermi level ... 1.43 states/eV per atom

***

Below is an optimized crystal structure of TbDyBi2, with properties calculated at the PBE level.

POSCAR file:
```
TbDyBi2
1.0
3.880 -2.243 0.000
3.880 2.243 0.000
-2.598 0.000 7.312
Tb Dy Bi
1 1 2
Cartesian
0.000 0.000 0.000
2.581 0.000 3.656
-0.009 0.000 5.475
5.170 0.000 1.836
```

Computed properties:
Crystal system ... monoclinic
DFT total energy ... -20.47 eV for the cell shown
Calculated formation energy ... -0.87 eV per atom
Symmetry ... C2/m, No. 12
Density of states at the Fermi level ... 0.18 states/eV per atom
ΔE to the lowest computed polymorph ... 0.0016 eV per atom

***

Below is an optimized crystal structure of Sr2SiSO, with properties calculated at the PBE level.

POSCAR file:
```
Sr2SiSO
1.0
5.312 0.000 0.000
0.000 5.312 0.000
0.000 0.000 3.869
Sr Si S O
2 1 1 1
Cartesian
0.000 2.656 0.000
2.656 0.000 0.000
0.000 0.000 1.934
2.656 2.656 1.934
0.000 0.000 0.000
```

Computed properties:
Uncorrected formation energy ... -1.36 eV per atom
Crystal system ... tetragonal
DFT total energy ... -24.66 eV for the cell shown
Symmetry ... P4/mmm, No. 123
Density of states at the Fermi level ... 0.54 states/eV per atom

***

Below is an optimized crystal structure of Be2GaFe2, with properties calculated at the PBE level.

POSCAR file:
```
Be2GaFe2
1.0
6.091 0.000 0.000
0.000 6.091 0.000
0.000 0.000 2.863
Be Ga Fe
4 2 4
Cartesian
0.907 2.138 0.000
2.138 5.183 0.000
3.952 0.907 0.000
5.183 3.952 0.000
0.000 0.000 1.431
3.045 3.045 1.431
0.855 3.900 1.431
2.190 0.855 1.431
3.900 5.236 1.431
5.236 2.190 1.431
```

Computed properties:
Crystal system ... tetragonal
DFT total energy ... -54.26 eV for the cell shown
Calculated formation energy ... 0.06 eV per atom
Symmetry ... P4/mbm, No. 127
Density of states at the Fermi level ... 0.94 states/eV per atom
ΔE to the lowest computed polymorph ... 0.2165 eV per atom

***

Below is an optimized crystal structure of CaCu2Rh, with properties calculated at the PBE level.

POSCAR file:
```
CaCu2Rh
1.0
3.021 0.000 0.000
0.000 4.353 0.000
-1.337 0.000 5.166
Ca Cu Rh
1 2 1
Cartesian
0.000 0.000 0.000
-0.012 2.176 3.608
1.696 2.176 1.558
0.842 0.000 2.583
```

Computed properties:
Crystal system ... monoclinic
DFT total energy ... -17.32 eV for the cell shown
Calculated formation energy ... 0.06 eV per atom
Symmetry ... P2/m, No. 10
Density of states at the Fermi level ... 0.75 states/eV per atom
ΔE to the lowest computed polymorph ... 0.2038 eV per atom

***

Below is an optimized crystal structure of GdPuPaGa, with properties calculated at the PBE level.

POSCAR file:
```
GdPuPaGa
1.0
0.000 3.619 3.619
3.619 0.000 3.619
3.619 3.619 0.000
Gd Pu Pa Ga
1 1 1 1
Cartesian
0.000 0.000 0.000
3.619 3.619 3.619
5.428 5.428 5.428
1.809 1.809 1.809
```

Computed properties:
Crystal system ... cubic
DFT total energy ... -40.66 eV for the cell shown
Calculated formation energy ... 0.07 eV per atom
Symmetry ... F-43m, No. 216
Density of states at the Fermi level ... 1.96 states/eV per atom

***

Below is an optimized crystal structure of BiCI2O, with properties calculated at the PBE level.

POSCAR file:
```
BiCI2O
1.0
5.706 0.000 0.000
0.000 5.706 0.000
0.000 0.000 3.461
Bi C I O
1 1 2 1
Cartesian
0.000 0.000 0.000
2.853 2.853 1.731
0.000 2.853 1.731
2.853 0.000 1.731
2.853 2.853 0.000
```

Computed properties:
Uncorrected formation energy ... 1.03 eV per atom
Crystal system ... tetragonal
DFT total energy ... -16.04 eV for the cell shown
Symmetry ... P4/mmm, No. 123
Density of states at the Fermi level ... 0.79 states/eV per atom
ΔE to the lowest computed polymorph ... 0.0000 eV per atom

***

Below is an optimized crystal structure of VBi3C, with properties calculated at the PBE level.

POSCAR file:
```
VBi3C
1.0
5.217 0.000 0.000
0.000 5.217 0.000
0.000 0.000 5.217
V Bi C
1 3 1
Cartesian
0.000 0.000 0.000
0.000 0.000 2.608
0.000 2.608 0.000
2.608 0.000 0.000
2.608 2.608 2.608
```

Computed properties:
Crystal system ... cubic
DFT total energy ... -22.24 eV for the cell shown
Calculated formation energy ... 1.55 eV per atom
Symmetry ... Pm-3m, No. 221
Density of states at the Fermi level ... 0.52 states/eV per atom
ΔE to the lowest computed polymorph ... 0.3584 eV per atom

***

Below is an optimized crystal structure of HfTiVMo, with properties calculated at the PBE level.

POSCAR file:
```
HfTiVMo
1.0
0.000 3.251 3.251
3.251 0.000 3.251
3.251 3.251 0.000
Hf Ti V Mo
1 1 1 1
Cartesian
0.000 0.000 0.000
3.251 3.251 3.251
4.877 4.877 4.877
1.626 1.626 1.626
```

Computed properties:
Crystal system ... cubic
DFT total energy ... -37.62 eV for the cell shown
Calculated formation energy ... 0.04 eV per atom
Symmetry ... F-43m, No. 216
Density of states at the Fermi level ... 1.51 states/eV per atom

***

Below is an optimized crystal structure of Ag2HgOs, with properties calculated at the PBE level.

POSCAR file:
```
Ag2HgOs
1.0
-1.967 1.967 10.024
1.967 -1.967 10.024
1.967 1.967 -10.024
Ag Hg Os
4 2 2
Cartesian
2.950 0.951 -2.506
0.951 0.983 2.506
-0.983 1.016 7.518
1.016 0.983 12.530
1.967 0.000 5.012
0.000 0.000 10.024
0.000 0.000 0.000
0.000 1.967 5.012
```

Computed properties:
Crystal system ... tetragonal
DFT total energy ... -26.61 eV for the cell shown
Calculated formation energy ... 0.98 eV per atom
Symmetry ... I-42d, No. 122
Density of states at the Fermi level ... 0.91 states/eV per atom

***

Below is an optimized crystal structure of MgCu2Br, with properties calculated at the PBE level.

POSCAR file:
```
MgCu2Br
1.0
-1.673 2.005 6.051
1.673 -2.005 6.051
1.673 2.005 -6.051
Mg Cu Br
1 2 1
Cartesian
0.000 0.000 0.000
0.000 0.000 5.159
0.000 2.005 3.885
1.673 0.000 2.132
```

Computed properties:
Uncorrected formation energy ... 0.01 eV per atom
Crystal system ... orthorhombic
DFT total energy ... -11.42 eV for the cell shown
Symmetry ... Imm2, No. 44
Density of states at the Fermi level ... 0.26 states/eV per atom
ΔE to the lowest computed polymorph ... 0.1507 eV per atom

***

Below is an optimized crystal structure of ScHgB, with properties calculated at the PBE level.

POSCAR file:
```
ScHgB
1.0
3.565 0.000 0.000
1.774 4.681 0.000
1.773 0.290 5.839
Sc Hg B
2 2 2
Cartesian
0.889 0.941 0.939
6.223 4.031 4.899
2.661 1.426 3.603
4.451 3.545 2.236
2.666 3.004 0.476
4.446 1.967 5.363
```

Computed properties:
Crystal system ... triclinic
DFT total energy ... -27.91 eV for the cell shown
Calculated formation energy ... -0.21 eV per atom
Symmetry ... P-1, No. 2
Density of states at the Fermi level ... 0.32 states/eV per atom
ΔE to the lowest computed polymorph ... 0.2971 eV per atom

***

Below is an optimized crystal structure of POsBr2, with properties calculated at the PBE level.

POSCAR file:
```
POsBr2
1.0
3.308 -1.634 0.000
3.308 1.634 0.000
-0.465 0.000 8.714
P Os Br
1 1 2
Cartesian
0.000 0.000 0.000
4.108 0.000 7.648
0.047 0.000 2.241
2.076 0.000 5.860
```

Computed properties:
Uncorrected formation energy ... -0.06 eV per atom
Crystal system ... monoclinic
DFT total energy ... -20.23 eV for the cell shown
Symmetry ... Cm, No. 8
Density of states at the Fermi level ... 0.80 states/eV per atom
ΔE to the lowest computed polymorph ... 0.0000 eV per atom

***

Below is an optimized crystal structure of Te3Pt, with properties calculated at the PBE level.

POSCAR file:
```
Te3Pt
1.0
3.924 0.000 0.000
-1.962 3.398 0.000
0.000 0.000 8.013
Te Pt
3 1
Cartesian
0.000 0.000 0.000
1.962 1.133 2.380
1.962 1.133 5.633
0.000 0.000 4.007
```

Computed properties:
Uncorrected formation energy ... 0.04 eV per atom
Crystal system ... hexagonal
DFT total energy ... -15.32 eV for the cell shown
Symmetry ... P-6m2, No. 187
Density of states at the Fermi level ... 0.46 states/eV per atom